Record 1
BAsCI2: optimized geometry, PBE.

The calculation puts the density at 5.1 Mg/m³. The value obtained for the uncorrected formation energy is 2042 meV/atom. As for the density of states at the Fermi level: 0.7556 states/eV per atom. Its crystal system is tetragonal.

The space group is P4/mmm (No. 123) and the conventional cell measures 5.301, 5.301 and 4.091 Å, with angles of 90.00, 90.00 and 90.00 degrees. The distinct sites, in fractional coordinates, are B at (0.000, 0.000, 0.000), As at (0.000, 0.000, 0.500), C at (0.500, 0.500, 0.500) and I at (0.000, 0.500, 0.000).

***

Record 2
BAs2IrC: optimized geometry, PBE.

The calculation puts the density at 6.5 Mg/m³. The value obtained for the formation energy is 1.776 eV/atom. As for the density of states at the Fermi level: 0.4510 states/eV per atom. Its crystal system is tetragonal.

The space group is P4/mmm (No. 123) and the conventional cell measures 4.851, 4.851 and 3.948 Å, with angles of 90.00, 90.00 and 90.00 degrees. The distinct sites, in fractional coordinates, are B at (0.000, 0.000, 0.000), As at (0.000, 0.500, 0.500), Ir at (0.000, 0.000, 0.500) and C at (0.500, 0.500, 0.000).

***

Record 3
B2AsIrC: optimized geometry, PBE.

The calculation puts the density at 6.2 Mg/m³. The value obtained for the formation energy is 1.774 eV/atom. As for the density of states at the Fermi level: 0.6384 states/eV per atom. Its crystal system is tetragonal.

The space group is P4/mmm (No. 123) and the conventional cell measures 3.947, 3.947 and 5.161 Å, with angles of 90.00, 90.00 and 90.00 degrees. The distinct sites, in fractional coordinates, are B at (0.000, 0.500, 0.000), As at (0.000, 0.000, 0.500), Ir at (0.000, 0.000, 0.000) and C at (0.500, 0.500, 0.500).

***

Record 4
B2AsPC: optimized geometry, PBE.

The calculation puts the density at 3.4 Mg/m³. The value obtained for the formation energy is 2.110 eV/atom. As for the density of states at the Fermi level: 0.3935 states/eV per atom. Its crystal system is tetragonal.

The space group is P4/mmm (No. 123) and the conventional cell measures 3.693, 3.693 and 4.955 Å, with angles of 90.00, 90.00 and 90.00 degrees. The distinct sites, in fractional coordinates, are B at (0.000, 0.500, 0.000), As at (0.000, 0.000, 0.500), P at (0.000, 0.000, 0.000) and C at (0.500, 0.500, 0.500).

***

Record 5
CaB2As: optimized geometry, PBE.

The calculation puts the density at 3.7 Mg/m³. The value obtained for the formation energy is 0.348 eV/atom. As for the density of states at the Fermi level: 0.2460 states/eV per atom. Its crystal system is tetragonal.

The space group is I4_1/amd (No. 141, origin choice 2) and the conventional cell measures 3.947, 3.947 and 15.952 Å, with angles of 90.00, 90.00 and 90.00 degrees. The distinct sites, in fractional coordinates, are Ca at (0.000, 0.250, 0.375), B at (0.000, 0.000, 0.000) and As at (0.000, 0.250, 0.875).

***

Record 6
Ca2BAs: optimized geometry, PBE.

The calculation puts the density at 3.0 Mg/m³. The value obtained for the formation energy is -0.408 eV/atom. The offset from the most stable computed form is 181.8 meV/atom. As for the density of states at the Fermi level: 0.3106 states/eV per atom. Its crystal system is orthorhombic.

The space group is Amm2 (No. 38) and the conventional cell measures 3.585, 4.400 and 23.571 Å, with angles of 90.00, 90.00 and 90.00 degrees. The distinct sites, in fractional coordinates, are Ca at (0.000, 0.000, 0.000), Ca at (0.000, 0.000, 0.375), Ca at (0.500, 0.000, 0.144), Ca at (0.500, 0.000, 0.761), B at (0.000, 0.000, 0.605), B at (0.000, 0.000, 0.673), As at (0.500, 0.000, 0.550) and As at (0.500, 0.000, 0.892).

***

Record 7
Ca2BAs: optimized geometry, PBE.

The calculation puts the density at 2.9 Mg/m³. The value obtained for the formation energy is -0.503 eV/atom. The offset from the most stable computed form is 87.3 meV/atom. As for the density of states at the Fermi level: 0.2095 states/eV per atom. Its crystal system is triclinic.

The space group is P1 (No. 1) and the conventional cell measures 3.971, 4.359 and 11.293 Å, with angles of 88.29, 80.37 and 88.66 degrees. The distinct sites, in fractional coordinates, are Ca at (0.000, 0.000, 0.000), Ca at (0.123, 0.527, 0.734), Ca at (0.255, 0.055, 0.449), Ca at (0.407, 0.497, 0.202), B at (0.812, 0.713, 0.365), B at (0.872, 0.927, 0.253), As at (0.532, 0.501, 0.929) and As at (0.713, 0.553, 0.537).

***

Record 8
Ca2BAs: optimized geometry, PBE.

The calculation puts the density at 2.7 Mg/m³. The value obtained for the formation energy is -0.532 eV/atom. The offset from the most stable computed form is 58.0 meV/atom. Its crystal system is triclinic.

The space group is P1 (No. 1) and the conventional cell measures 4.898, 6.087 and 7.409 Å, with angles of 67.74, 86.42 and 87.26 degrees. The distinct sites, in fractional coordinates, are Ca at (0.000, 0.000, 0.000), Ca at (0.013, 0.076, 0.497), Ca at (0.480, 0.523, 0.349), Ca at (0.580, 0.577, 0.784), B at (0.948, 0.681, 0.430), B at (0.984, 0.578, 0.272), As at (0.050, 0.443, 0.067) and As at (0.506, 0.091, 0.736).

***

Record 9
Ca2BAs: optimized geometry, PBE.

The calculation puts the density at 2.9 Mg/m³. The value obtained for the formation energy is -0.556 eV/atom. The offset from the most stable computed form is 33.8 meV/atom. Its crystal system is monoclinic.

The space group is Cm (No. 8) and the conventional cell measures 7.626, 5.005 and 10.296 Å, with angles of 90.00, 101.51 and 90.00 degrees. The distinct sites, in fractional coordinates, are Ca at (0.000, 0.000, 0.000), Ca at (0.059, 0.500, 0.518), Ca at (0.209, 0.500, 0.212), Ca at (0.308, 0.000, 0.780), B at (0.315, 0.000, 0.194), B at (0.362, 0.000, 0.055), As at (0.184, 0.000, 0.349) and As at (0.431, 0.500, 0.685).

***

Record 10
Ca2BAs: optimized geometry, PBE.

The calculation puts the density at 2.8 Mg/m³. The value obtained for the formation energy is -0.538 eV/atom. The offset from the most stable computed form is 51.9 meV/atom. Its crystal system is monoclinic.

The space group is Cm (No. 8) and the conventional cell measures 13.507, 4.248 and 8.180 Å, with angles of 90.00, 122.81 and 90.00 degrees. The distinct sites, in fractional coordinates, are Ca at (0.000, 0.000, 0.000), Ca at (0.046, 0.500, 0.631), Ca at (0.215, 0.500, 0.429), Ca at (0.328, 0.000, 0.117), B at (0.020, 0.000, 0.370), B at (0.148, 0.000, 0.546), As at (0.161, 0.500, 0.044) and As at (0.326, 0.000, 0.735).

***

Record 11
Ca2BAs: optimized geometry, PBE.

The calculation puts the density at 2.8 Mg/m³. The value obtained for the formation energy is -0.590 eV/atom. The offset from the most stable computed form is 0.0 meV/atom. Its crystal system is triclinic.

The space group is P1 (No. 1) and the conventional cell measures 4.572, 4.575 and 11.258 Å, with angles of 78.37, 78.34 and 60.08 degrees. The distinct sites, in fractional coordinates, are Ca at (0.000, 0.000, 0.000), Ca at (0.175, 0.176, 0.475), Ca at (0.582, 0.584, 0.254), Ca at (0.763, 0.761, 0.712), B at (0.451, 0.449, 0.649), B at (0.497, 0.499, 0.509), As at (0.280, 0.282, 0.158) and As at (0.388, 0.386, 0.836).

***

Record 12
Ca2BAs: optimized geometry, PBE.

The calculation puts the density at 2.8 Mg/m³. The value obtained for the formation energy is -0.579 eV/atom. The offset from the most stable computed form is 11.5 meV/atom. Its crystal system is trigonal.

The space group is P3m1 (No. 156) and the conventional cell measures 4.5667, 4.5667 and 10.9073 Å, with angles of 90.00, 90.00 and 120.00 degrees. The distinct sites, in fractional coordinates, are Ca at (0.0000, 0.0000, 0.0000), Ca at (0.0000, 0.0000, 0.4892), Ca at (0.3333, 0.6667, 0.2365), Ca at (0.6667, 0.3333, 0.7669), B at (0.3333, 0.6667, 0.8369), B at (0.3333, 0.6667, 0.9771), As at (0.3333, 0.6667, 0.6498) and As at (0.6667, 0.3333, 0.3421).

***

Record 13
CaBAs3: optimized geometry, PBE.

The calculation puts the density at 4.7 Mg/m³. The value obtained for the formation energy is 0.232 eV/atom. The offset from the most stable computed form is 0.0 meV/atom. As for the density of states at the Fermi level: 0.7496 states/eV per atom. Its crystal system is cubic.

The space group is Pm-3m (No. 221) and the conventional cell measures 4.586, 4.586 and 4.586 Å, with angles of 90.00, 90.00 and 90.00 degrees. The distinct sites, in fractional coordinates, are Ca at (0.000, 0.000, 0.000), B at (0.500, 0.500, 0.500) and As at (0.000, 0.500, 0.500).

***

Record 14
Ca2BAs: optimized geometry, PBE.

The calculation puts the density at 3.0 Mg/m³. The value obtained for the formation energy is 0.213 eV/atom. The offset from the most stable computed form is 803.4 meV/atom. As for the density of states at the Fermi level: 0.7600 states/eV per atom. Its crystal system is tetragonal.

The space group is I-42d (No. 122) and the conventional cell measures 7.540, 7.540 and 6.566 Å, with angles of 90.00, 90.00 and 90.00 degrees. The distinct sites, in fractional coordinates, are Ca at (0.225, 0.250, 0.125), B at (0.000, 0.000, 0.000) and As at (0.000, 0.000, 0.500).

***

Record 15
Ca2BAs: optimized geometry, PBE.

The calculation puts the density at 3.0 Mg/m³. The value obtained for the formation energy is -0.531 eV/atom. The offset from the most stable computed form is 58.9 meV/atom. As for the density of states at the Fermi level: 0.1841 states/eV per atom. Its crystal system is monoclinic.

The space group is Cm (No. 8) and the conventional cell measures 13.002, 4.234 and 9.062 Å, with angles of 90.00, 133.21 and 90.00 degrees. The distinct sites, in fractional coordinates, are Ca at (0.000, 0.000, 0.000), Ca at (0.075, 0.500, 0.691), Ca at (0.233, 0.500, 0.475), Ca at (0.368, 0.000, 0.171), B at (0.053, 0.000, 0.433), B at (0.422, 0.500, 0.422), As at (0.204, 0.500, 0.133) and As at (0.272, 0.000, 0.742).

***

Record 16
Ca2BAs: optimized geometry, PBE.

The calculation puts the density at 3.3 Mg/m³. The value obtained for the formation energy is -0.013 eV/atom. The offset from the most stable computed form is 577.3 meV/atom. As for the density of states at the Fermi level: 0.6386 states/eV per atom. Its crystal system is cubic.

The space group is Fm-3m (No. 225) and the conventional cell measures 6.961, 6.961 and 6.961 Å, with angles of 90.00, 90.00 and 90.00 degrees. The distinct sites, in fractional coordinates, are Ca at (0.250, 0.250, 0.250), B at (0.000, 0.000, 0.000) and As at (0.000, 0.000, 0.500).

***

Record 17
CaBAs3: optimized geometry, PBE.

The calculation puts the density at 3.0 Mg/m³. The value obtained for the formation energy is 1.665 eV/atom. The offset from the most stable computed form is 1433.1 meV/atom. As for the density of states at the Fermi level: 0.6615 states/eV per atom. Its crystal system is cubic.

The space group is Pm-3m (No. 221) and the conventional cell measures 5.341, 5.341 and 5.341 Å, with angles of 90.00, 90.00 and 90.00 degrees. The distinct sites, in fractional coordinates, are Ca at (0.000, 0.000, 0.000), B at (0.500, 0.500, 0.500) and As at (0.000, 0.000, 0.500).

***

Record 18
Ca3BAs: optimized geometry, PBE.

The calculation puts the density at 2.6 Mg/m³. The value obtained for the formation energy is -0.128 eV/atom. The offset from the most stable computed form is 0.0 meV/atom. As for the density of states at the Fermi level: 0.7690 states/eV per atom. Its crystal system is cubic.

The space group is Pm-3m (No. 221) and the conventional cell measures 5.061, 5.061 and 5.061 Å, with angles of 90.00, 90.00 and 90.00 degrees. The distinct sites, in fractional coordinates, are Ca at (0.000, 0.000, 0.500), B at (0.000, 0.000, 0.000) and As at (0.500, 0.500, 0.500).

***

Record 19
CaBAs: optimized geometry, PBE.

The calculation puts the density at 3.5 Mg/m³. The value obtained for the formation energy is -0.526 eV/atom. As for the density of states at the Fermi level: 0.1238 states/eV per atom. Its crystal system is orthorhombic.

The space group is Immm (No. 71) and the conventional cell measures 4.303, 4.371 and 12.715 Å, with angles of 90.00, 90.00 and 90.00 degrees. The distinct sites, in fractional coordinates, are Ca at (0.000, 0.000, 0.137), B at (0.185, 0.500, 0.000) and As at (0.000, 0.000, 0.373).

***

Record 20
Ca2BAs: optimized geometry, PBE.

The calculation puts the density at 2.8 Mg/m³. The value obtained for the formation energy is -0.509 eV/atom. The offset from the most stable computed form is 80.8 meV/atom. Its crystal system is triclinic.

The space group is P1 (No. 1) and the conventional cell measures 4.465, 5.859 and 7.766 Å, with angles of 78.92, 89.63 and 84.71 degrees. The distinct sites, in fractional coordinates, are Ca at (0.000, 0.000, 0.000), Ca at (0.015, 0.135, 0.466), Ca at (0.529, 0.493, 0.113), Ca at (0.598, 0.673, 0.668), B at (0.036, 0.575, 0.915), B at (0.204, 0.398, 0.819), As at (0.476, 0.171, 0.719) and As at (0.536, 0.943, 0.282).

***

Record 21
CaGaBAs2: optimized geometry, PBE.

The calculation puts the density at 2.8 Mg/m³. The value obtained for the formation energy is 1.521 eV/atom. As for the density of states at the Fermi level: 0.6330 states/eV per atom. Its crystal system is tetragonal.

The space group is P4/mmm (No. 123) and the conventional cell measures 5.347, 5.347 and 5.568 Å, with angles of 90.00, 90.00 and 90.00 degrees. The distinct sites, in fractional coordinates, are Ca at (0.000, 0.000, 0.000), Ga at (0.000, 0.000, 0.500), B at (0.500, 0.500, 0.500) and As at (0.000, 0.500, 0.000).

***

Record 22
Ca2BAsH: optimized geometry, PBE.

The calculation puts the density at 2.3 Mg/m³. The total energy comes out at -3.371 eV per atom. As for the density of states at the Fermi level: 0.2274 states/eV per atom. Its crystal system is tetragonal.

The space group is P4/mmm (No. 123) and the conventional cell measures 5.503, 5.503 and 4.059 Å, with angles of 90.00, 90.00 and 90.00 degrees. The distinct sites, in fractional coordinates, are Ca at (0.000, 0.500, 0.000), B at (0.000, 0.000, 0.500), As at (0.000, 0.000, 0.000) and H at (0.500, 0.500, 0.500).

***

Record 23
CaB2AsI: optimized geometry, PBE.

The calculation puts the density at 3.0 Mg/m³. The value obtained for the uncorrected formation energy is 1940 meV/atom. As for the density of states at the Fermi level: 0.5329 states/eV per atom. Its crystal system is tetragonal.

The space group is P4/mmm (No. 123) and the conventional cell measures 5.025, 5.025 and 5.844 Å, with angles of 90.00, 90.00 and 90.00 degrees. The distinct sites, in fractional coordinates, are Ca at (0.000, 0.000, 0.000), B at (0.000, 0.500, 0.000), As at (0.500, 0.500, 0.500) and I at (0.000, 0.000, 0.500).

***

Record 24
NaCaBAs2: optimized geometry, PBE.

The calculation puts the density at 2.3 Mg/m³. The value obtained for the formation energy is 1.334 eV/atom. As for the density of states at the Fermi level: 0.6107 states/eV per atom. Its crystal system is tetragonal.

The space group is P4/mmm (No. 123) and the conventional cell measures 5.353, 5.353 and 5.617 Å, with angles of 90.00, 90.00 and 90.00 degrees. The distinct sites, in fractional coordinates, are Na at (0.000, 0.000, 0.000), Ca at (0.000, 0.000, 0.500), B at (0.500, 0.500, 0.000) and As at (0.000, 0.500, 0.500).